# PBE-GGA KMnAgI4, relaxed
data_KMnAgI4
_chemical_formula_sum 'K1 Mn1 Ag1 I4'
_cell_length_a 7.7031
_cell_length_b 7.7031
_cell_length_c 7.8427
_cell_angle_alpha 119.41
_cell_angle_beta 119.41
_cell_angle_gamma 90.00
_space_group_name_H-M_alt 'P 1'
_space_group_IT_number 1
_space_group_name_Hall 'P 1'
loop_
_atom_site_label
_atom_site_fract_x
_atom_site_fract_y
_atom_site_fract_z
K1 0.0000 0.0000 0.0000
I1 0.1741 0.1119 0.7188
I2 0.8881 0.4554 0.2812
I3 0.3931 0.8259 0.2812
I4 0.5446 0.6069 0.7188
Ag1 0.5000 0.5000 0.0000
Mn1 0.2500 0.7500 0.5000
# D(E_F) (states/eV/f.u.): 0.00
# Formation energy from raw total energies (eV/atom): -0.67

# PBE-GGA Y2NpBi3, relaxed
data_Y2NpBi3
_chemical_formula_sum 'Y8 Np4 Bi12'
_cell_length_a 7.7880
_cell_length_b 7.7880
_cell_length_c 14.2133
_cell_angle_alpha 100.54
_cell_angle_beta 100.54
_cell_angle_gamma 109.41
_space_group_name_H-M_alt 'P 1'
_space_group_IT_number 1
_space_group_name_Hall 'P 1'
loop_
_atom_site_label
_atom_site_fract_x
_atom_site_fract_y
_atom_site_fract_z
Y1 0.5832 0.5832 0.1663
Y2 0.8332 0.3332 0.6663
Y3 0.2499 0.2499 0.4998
Y4 0.6668 0.1668 0.3337
Y5 0.7501 0.7501 0.5002
Y6 0.4999 0.9999 0.9998
Y7 0.0001 0.5001 0.0002
Y8 0.4168 0.4168 0.8337
Bi1 0.5011 0.0011 0.5000
Bi2 0.9157 0.9161 0.3334
Bi3 0.4178 0.4173 0.3334
Bi4 0.6673 0.1678 0.8334
Bi5 0.8322 0.3327 0.1666
Bi6 0.9989 0.4989 0.5000
Bi7 0.2511 0.2511 0.0000
Bi8 0.0839 0.0843 0.6666
Bi9 0.3343 0.8339 0.1666
Bi10 0.7489 0.7489 0.0000
Bi11 0.5827 0.5822 0.6666
Bi12 0.1661 0.6657 0.8334
Np1 0.3334 0.8334 0.6668
Np2 0.9166 0.9166 0.8332
Np3 0.1666 0.6666 0.3332
Np4 0.0834 0.0834 0.1668
# D(E_F) (states/eV/f.u.): 12.31
# Energy relative to the elements (eV per atom): -0.55

# PBE-GGA PmSnAsPd, relaxed
data_PmSnAsPd
_chemical_formula_sum 'Pm1 Sn1 As1 Pd1'
_cell_length_a 5.0194
_cell_length_b 5.0194
_cell_length_c 5.0194
_cell_angle_alpha 60.00
_cell_angle_beta 60.00
_cell_angle_gamma 60.00
_space_group_name_H-M_alt 'P 1'
_space_group_IT_number 1
_space_group_name_Hall 'P 1'
loop_
_atom_site_label
_atom_site_fract_x
_atom_site_fract_y
_atom_site_fract_z
As1 0.5000 0.5000 0.5000
Sn1 0.2500 0.2500 0.2500
Pm1 0.7500 0.7500 0.7500
Pd1 0.0000 0.0000 0.0000
# D(E_F) (states/eV/f.u.): 0.91
# Energy relative to the elements (eV per atom): -0.59

# PBE-GGA PaSn, relaxed
data_PaSn
_chemical_formula_sum 'Pa1 Sn1'
_cell_length_a 4.3829
_cell_length_b 4.3829
_cell_length_c 4.3829
_cell_angle_alpha 60.00
_cell_angle_beta 60.00
_cell_angle_gamma 60.00
_space_group_name_H-M_alt 'P 1'
_space_group_IT_number 1
_space_group_name_Hall 'P 1'
loop_
_atom_site_label
_atom_site_fract_x
_atom_site_fract_y
_atom_site_fract_z
Sn1 0.5000 0.5000 0.5000
Pa1 0.0000 0.0000 0.0000
# D(E_F) (states/eV/f.u.): 3.64
# Energy relative to the elements (eV per atom): 0.01

# PBE-GGA KRb2NaAg, relaxed
data_KRb2NaAg
_chemical_formula_sum 'K1 Rb2 Na1 Ag1'
_cell_length_a 7.0247
_cell_length_b 7.0247
_cell_length_c 6.0497
_cell_angle_alpha 90.00
_cell_angle_beta 90.00
_cell_angle_gamma 90.00
_space_group_name_H-M_alt 'P 1'
_space_group_IT_number 1
_space_group_name_Hall 'P 1'
loop_
_atom_site_label
_atom_site_fract_x
_atom_site_fract_y
_atom_site_fract_z
Rb1 0.0000 0.5000 0.0000
Rb2 0.5000 0.0000 0.0000
Ag1 0.0000 0.0000 0.0000
K1 0.5000 0.5000 0.5000
Na1 0.0000 0.0000 0.5000
# D(E_F) (states/eV/f.u.): 2.26
# Energy relative to the elements (eV per atom): 0.07
# Relative energy among the computed polymorphs (kJ/mol of atoms): 0.00

# PBE-GGA Te2Br3Cl4, relaxed
data_Te2Br3Cl4
_chemical_formula_sum 'Te4 Br6 Cl8'
_cell_length_a 7.1748
_cell_length_b 13.5989
_cell_length_c 13.5989
_cell_angle_alpha 106.65
_cell_angle_beta 62.54
_cell_angle_gamma 62.54
_space_group_name_H-M_alt 'P 1'
_space_group_IT_number 1
_space_group_name_Hall 'P 1'
loop_
_atom_site_label
_atom_site_fract_x
_atom_site_fract_y
_atom_site_fract_z
Te1 0.8656 0.4753 0.1563
Te2 0.6344 0.8437 0.5247
Te3 0.1344 0.5247 0.8437
Te4 0.3656 0.1563 0.4753
Br1 0.7500 0.5879 0.4121
Br2 0.2500 0.4121 0.5879
Br3 0.5593 0.7570 0.0170
Br4 0.9407 0.9830 0.2430
Br5 0.0593 0.0170 0.7570
Br6 0.4407 0.2430 0.9830
Cl1 0.9048 0.4033 0.9515
Cl2 0.3429 0.6116 0.7715
Cl3 0.1571 0.2285 0.3884
Cl4 0.5952 0.0485 0.5967
Cl5 0.6571 0.3884 0.2285
Cl6 0.0952 0.5967 0.0485
Cl7 0.4048 0.9515 0.4033
Cl8 0.8429 0.7715 0.6116
# D(E_F) (states/eV/f.u.): 2.97
# Formation energy from raw total energies (eV/atom): -0.37

# PBE-GGA YCu2Ni6, relaxed
data_YCu2Ni6
_chemical_formula_sum 'Y2 Cu4 Ni12'
_cell_length_a 7.3748
_cell_length_b 7.3748
_cell_length_c 7.3748
_cell_angle_alpha 60.00
_cell_angle_beta 60.00
_cell_angle_gamma 60.00
_space_group_name_H-M_alt 'P 1'
_space_group_IT_number 1
_space_group_name_Hall 'P 1'
loop_
_atom_site_label
_atom_site_fract_x
_atom_site_fract_y
_atom_site_fract_z
Ni1 0.2548 0.7452 0.7452
Ni2 0.7452 0.2548 0.7452
Ni3 0.5048 0.5048 0.9952
Ni4 0.7452 0.7452 0.2548
Ni5 0.9952 0.9952 0.5048
Ni6 0.2548 0.7452 0.2548
Ni7 0.2548 0.2548 0.7452
Ni8 0.9952 0.5048 0.9952
Ni9 0.5048 0.9952 0.5048
Ni10 0.9952 0.5048 0.5048
Ni11 0.7452 0.2548 0.2548
Ni12 0.5048 0.9952 0.9952
Y1 0.7500 0.7500 0.7500
Y2 0.5000 0.5000 0.5000
Cu1 0.6250 0.1250 0.1250
Cu2 0.1250 0.1250 0.1250
Cu3 0.1250 0.6250 0.1250
Cu4 0.1250 0.1250 0.6250
# D(E_F) (states/eV/f.u.): 15.63
# Energy relative to the elements (eV per atom): 0.57

# PBE-GGA KSr2LaS4, relaxed
data_KSr2LaS4
_chemical_formula_sum 'K1 Sr2 La1 S4'
_cell_length_a 4.3068
_cell_length_b 7.3735
_cell_length_c 7.4599
_cell_angle_alpha 71.42
_cell_angle_beta 90.00
_cell_angle_gamma 90.00
_space_group_name_H-M_alt 'P 1'
_space_group_IT_number 1
_space_group_name_Hall 'P 1'
loop_
_atom_site_label
_atom_site_fract_x
_atom_site_fract_y
_atom_site_fract_z
S1 0.0000 0.2454 0.2731
S2 0.0000 0.7546 0.7269
S3 0.5000 0.7442 0.2650
S4 0.5000 0.2558 0.7350
La1 0.0000 0.5000 0.5000
K1 0.5000 0.5000 0.0000
Sr1 0.5000 0.0000 0.5000
Sr2 0.0000 0.0000 0.0000
# D(E_F) (states/eV/f.u.): 0.00
# Formation energy from raw total energies (eV/atom): -1.98

# PBE-GGA CoRh, relaxed
data_CoRh
_chemical_formula_sum 'Co2 Rh2'
_cell_length_a 3.3981
_cell_length_b 3.3981
_cell_length_c 5.8810
_cell_angle_alpha 90.00
_cell_angle_beta 90.00
_cell_angle_gamma 120.00
_space_group_name_H-M_alt 'P 1'
_space_group_IT_number 1
_space_group_name_Hall 'P 1'
loop_
_atom_site_label
_atom_site_fract_x
_atom_site_fract_y
_atom_site_fract_z
Co1 0.6667 0.3333 0.7500
Co2 0.3333 0.6667 0.2500
Rh1 0.0000 0.0000 0.5000
Rh2 0.0000 0.0000 0.0000
# D(E_F) (states/eV/f.u.): 3.00
# Energy relative to the elements (eV per atom): 0.66

# PBE-GGA K2NaYCl6, relaxed
data_K2NaYCl6
_chemical_formula_sum 'K2 Na1 Y1 Cl6'
_cell_length_a 7.5805
_cell_length_b 7.5805
_cell_length_c 7.5805
_cell_angle_alpha 60.00
_cell_angle_beta 60.00
_cell_angle_gamma 60.00
_space_group_name_H-M_alt 'P 1'
_space_group_IT_number 1
_space_group_name_Hall 'P 1'
loop_
_atom_site_label
_atom_site_fract_x
_atom_site_fract_y
_atom_site_fract_z
Cl1 0.7547 0.2453 0.2453
Cl2 0.2453 0.7547 0.2453
Cl3 0.7547 0.7547 0.2453
Cl4 0.2453 0.7547 0.7547
Cl5 0.7547 0.2453 0.7547
Cl6 0.2453 0.2453 0.7547
K1 0.2500 0.2500 0.2500
K2 0.7500 0.7500 0.7500
Y1 0.0000 0.0000 0.0000
Na1 0.5000 0.5000 0.5000
# D(E_F) (states/eV/f.u.): 0.00
# Formation energy from raw total energies (eV/atom): -2.06

# PBE-GGA CrNiSn2, relaxed
data_CrNiSn2
_chemical_formula_sum 'Cr2 Ni2 Sn4'
_cell_length_a 7.0126
_cell_length_b 7.0126
_cell_length_c 5.7967
_cell_angle_alpha 52.78
_cell_angle_beta 52.78
_cell_angle_gamma 90.00
_space_group_name_H-M_alt 'P 1'
_space_group_IT_number 1
_space_group_name_Hall 'P 1'
loop_
_atom_site_label
_atom_site_fract_x
_atom_site_fract_y
_atom_site_fract_z
Sn1 0.8750 0.8963 0.7500
Sn2 0.3750 0.3537 0.7500
Sn3 0.6463 0.1250 0.2500
Sn4 0.1037 0.6250 0.2500
Ni1 0.7500 0.2500 0.5000
Ni2 0.0000 0.0000 0.0000
Cr1 0.2500 0.7500 0.5000
Cr2 0.5000 0.5000 0.0000
# D(E_F) (states/eV/f.u.): 0.79
# Energy relative to the elements (eV per atom): 0.61
# Relative energy among the computed polymorphs (kJ/mol of atoms): 24.50

# PBE-GGA Sm4BSBr2, relaxed
data_Sm4BSBr2
_chemical_formula_sum 'Sm4 B1 S1 Br2'
_cell_length_a 3.9901
_cell_length_b 6.9696
_cell_length_c 7.5947
_cell_angle_alpha 107.79
_cell_angle_beta 90.00
_cell_angle_gamma 90.00
_space_group_name_H-M_alt 'P 1'
_space_group_IT_number 1
_space_group_name_Hall 'P 1'
loop_
_atom_site_label
_atom_site_fract_x
_atom_site_fract_y
_atom_site_fract_z
B1 0.5000 0.5000 0.0000
Sm1 0.5000 0.2531 0.1946
Sm2 0.0000 0.7120 0.1920
Sm3 0.5000 0.7469 0.8054
Sm4 0.0000 0.2880 0.8080
Br1 0.0000 0.5000 0.5000
Br2 0.5000 0.0000 0.5000
S1 0.0000 0.0000 0.0000
# D(E_F) (states/eV/f.u.): 2.65
# Formation energy from raw total energies (eV/atom): -1.24

# PBE-GGA SrNd3, relaxed
data_SrNd3
_chemical_formula_sum 'Sr1 Nd3'
_cell_length_a 6.0172
_cell_length_b 6.0172
_cell_length_c 6.0172
_cell_angle_alpha 60.00
_cell_angle_beta 60.00
_cell_angle_gamma 60.00
_space_group_name_H-M_alt 'P 1'
_space_group_IT_number 1
_space_group_name_Hall 'P 1'
loop_
_atom_site_label
_atom_site_fract_x
_atom_site_fract_y
_atom_site_fract_z
Nd1 0.2500 0.2500 0.2500
Nd2 0.0000 0.0000 0.0000
Nd3 0.7500 0.7500 0.7500
Sr1 0.5000 0.5000 0.5000
# D(E_F) (states/eV/f.u.): 7.97
# Energy relative to the elements (eV per atom): 0.21

# PBE-GGA Y3Al2H, relaxed
data_Y3Al2H
_chemical_formula_sum 'Y6 Al4 H2'
_cell_length_a 6.1575
_cell_length_b 6.5500
_cell_length_c 7.3493
_cell_angle_alpha 98.07
_cell_angle_beta 114.77
_cell_angle_gamma 90.00
_space_group_name_H-M_alt 'P 1'
_space_group_IT_number 1
_space_group_name_Hall 'P 1'
loop_
_atom_site_label
_atom_site_fract_x
_atom_site_fract_y
_atom_site_fract_z
Al1 0.2116 0.4597 0.6402
Al2 0.5714 0.0403 0.3598
Al3 0.7884 0.5403 0.3598
Al4 0.4286 0.9597 0.6402
H1 0.9397 0.7500 0.0000
H2 0.0603 0.2500 0.0000
Y1 0.0292 0.1173 0.2676
Y2 0.7616 0.3827 0.7324
Y3 0.9708 0.8827 0.7324
Y4 0.5796 0.7500 0.0000
Y5 0.2384 0.6173 0.2676
Y6 0.4204 0.2500 0.0000
# Calculated total energy (eV per cell): -64.42
# D(E_F) (states/eV/f.u.): 3.72

# PBE-GGA Tc2PbAu, relaxed
data_Tc2PbAu
_chemical_formula_sum 'Tc2 Pb1 Au1'
_cell_length_a 4.8832
_cell_length_b 4.8832
_cell_length_c 5.4193
_cell_angle_alpha 76.05
_cell_angle_beta 76.05
_cell_angle_gamma 36.29
_space_group_name_H-M_alt 'P 1'
_space_group_IT_number 1
_space_group_name_Hall 'P 1'
loop_
_atom_site_label
_atom_site_fract_x
_atom_site_fract_y
_atom_site_fract_z
Tc1 0.4970 0.4970 0.4467
Tc2 0.0030 0.0030 0.0533
Au1 0.2500 0.2500 0.2500
Pb1 0.7500 0.7500 0.7500
# D(E_F) (states/eV/f.u.): 3.92
# Energy relative to the elements (eV per atom): 0.56

# PBE-GGA U2NiPt6, relaxed
data_U2NiPt6
_chemical_formula_sum 'U2 Ni1 Pt6'
_cell_length_a 6.1129
_cell_length_b 5.5209
_cell_length_c 5.5209
_cell_angle_alpha 60.02
_cell_angle_beta 90.08
_cell_angle_gamma 90.08
_space_group_name_H-M_alt 'P 1'
_space_group_IT_number 1
_space_group_name_Hall 'P 1'
loop_
_atom_site_label
_atom_site_fract_x
_atom_site_fract_y
_atom_site_fract_z
Pt1 0.6892 0.1701 0.1701
Pt2 0.6886 0.6592 0.1702
Pt3 0.3108 0.8299 0.8299
Pt4 0.6886 0.1702 0.6592
Pt5 0.3114 0.3408 0.8298
Pt6 0.3114 0.8298 0.3408
U1 0.1247 0.3334 0.3334
U2 0.8753 0.6666 0.6666
Ni1 0.0000 0.0000 0.0000
# D(E_F) (states/eV/f.u.): 12.83
# Energy relative to the elements (eV per atom): -0.58

# PBE-GGA Zn2CrCoMo, relaxed
data_Zn2CrCoMo
_chemical_formula_sum 'Zn2 Cr1 Co1 Mo1'
_cell_length_a 4.7972
_cell_length_b 4.2544
_cell_length_c 4.7972
_cell_angle_alpha 90.00
_cell_angle_beta 90.00
_cell_angle_gamma 90.00
_space_group_name_H-M_alt 'P 1'
_space_group_IT_number 1
_space_group_name_Hall 'P 1'
loop_
_atom_site_label
_atom_site_fract_x
_atom_site_fract_y
_atom_site_fract_z
Co1 0.0000 0.5000 0.0000
Zn1 0.5000 0.0000 0.0000
Zn2 0.0000 0.0000 0.5000
Cr1 0.5000 0.5000 0.5000
Mo1 0.0000 0.0000 0.0000
# D(E_F) (states/eV/f.u.): 6.31
# Energy relative to the elements (eV per atom): 1.71

# PBE-GGA AcDy5Cd4, relaxed
data_AcDy5Cd4
_chemical_formula_sum 'Ac1 Dy5 Cd4'
_cell_length_a 3.7524
_cell_length_b 3.7524
_cell_length_c 20.2450
_cell_angle_alpha 90.00
_cell_angle_beta 90.00
_cell_angle_gamma 90.00
_space_group_name_H-M_alt 'P 1'
_space_group_IT_number 1
_space_group_name_Hall 'P 1'
loop_
_atom_site_label
_atom_site_fract_x
_atom_site_fract_y
_atom_site_fract_z
Dy1 0.5000 0.5000 0.8684
Dy2 0.5000 0.5000 0.3158
Dy3 0.5000 0.5000 0.1316
Dy4 0.5000 0.5000 0.6842
Dy5 0.5000 0.5000 0.5000
Cd1 0.0000 0.0000 0.4071
Cd2 0.0000 0.0000 0.2230
Cd3 0.0000 0.0000 0.7770
Cd4 0.0000 0.0000 0.5929
Ac1 0.0000 0.0000 0.0000
# D(E_F) (states/eV/f.u.): 13.55
# Energy relative to the elements (eV per atom): -0.24

# PBE-GGA IrOsRu2, relaxed
data_IrOsRu2
_chemical_formula_sum 'Ir1 Os1 Ru2'
_cell_length_a 4.6981
_cell_length_b 4.6981
_cell_length_c 4.6981
_cell_angle_alpha 131.69
_cell_angle_beta 131.69
_cell_angle_gamma 70.72
_space_group_name_H-M_alt 'P 1'
_space_group_IT_number 1
_space_group_name_Hall 'P 1'
loop_
_atom_site_label
_atom_site_fract_x
_atom_site_fract_y
_atom_site_fract_z
Ir1 0.2500 0.7500 0.5000
Ru1 0.5000 0.5000 0.0000
Ru2 0.0000 0.0000 0.0000
Os1 0.7500 0.2500 0.5000
# D(E_F) (states/eV/f.u.): 4.19
# Energy relative to the elements (eV per atom): 0.05
# Relative energy among the computed polymorphs (kJ/mol of atoms): 5.11

# PBE-GGA CsPbSeBr, relaxed
data_CsPbSeBr
_chemical_formula_sum 'Cs1 Pb1 Se1 Br1'
_cell_length_a 4.5672
_cell_length_b 4.5672
_cell_length_c 8.9005
_cell_angle_alpha 75.13
_cell_angle_beta 75.13
_cell_angle_gamma 60.00
_space_group_name_H-M_alt 'P 1'
_space_group_IT_number 1
_space_group_name_Hall 'P 1'
loop_
_atom_site_label
_atom_site_fract_x
_atom_site_fract_y
_atom_site_fract_z
Cs1 0.7479 0.7479 0.7563
Se1 0.9830 0.9830 0.0509
Pb1 0.2598 0.2598 0.2206
Br1 0.5093 0.5093 0.4722
# D(E_F) (states/eV/f.u.): 0.00
# Formation energy from raw total energies (eV/atom): -1.07